1.
# NaSiS2N PBE optimized geometry
data_NaSiS2N
_symmetry_space_group_name_H-M 'P 4/m m m'
_symmetry_Int_Tables_number 123
_symmetry_space_group_name_Hall '-P 4 2'
_cell_length_a 4.9972
_cell_length_b 4.9972
_cell_length_c 4.2491
_cell_angle_alpha 90.00
_cell_angle_beta 90.00
_cell_angle_gamma 90.00
loop_
_atom_site_label
_atom_site_fract_x
_atom_site_fract_y
_atom_site_fract_z
_atom_site_occupancy
Na1 0.0000 0.0000 0.0000 1
Si1 0.5000 0.5000 0.5000 1
S1 0.0000 0.5000 0.0000 1
N1 0.0000 0.0000 0.5000 1
# E above lowest polymorph: 756 kJ/mol of formula units
# density of states at the Fermi level: 2.49 states/eV per cell
# volume: 106 Å³/f.u.
# raw formation energy: 1.53 eV/atom

2.
# Er5OsPt PBE optimized geometry
data_Er5OsPt
_symmetry_space_group_name_H-M 'C 1 2/c 1'
_symmetry_Int_Tables_number 15
_cell_length_a 8.7730
_cell_length_b 12.8147
_cell_length_c 6.5957
_cell_angle_alpha 90.00
_cell_angle_beta 98.91
_cell_angle_gamma 90.00
loop_
_symmetry_equiv_pos_as_xyz
'x,y,z'
'-x,-y,-z'
'-x,y,-z+1/2'
'x,-y,z+1/2'
'x+1/2,y+1/2,z'
'-x+1/2,-y+1/2,-z'
'-x+1/2,y+1/2,-z+1/2'
'x+1/2,-y+1/2,z+1/2'
loop_
_atom_site_label
_atom_site_fract_x
_atom_site_fract_y
_atom_site_fract_z
_atom_site_occupancy
Er1 0.0000 0.1850 0.2500 1
Er2 0.1514 0.4163 0.6323 1
Er3 0.1936 0.1457 0.8146 1
Os1 0.0000 0.4024 0.2500 1
Pt1 0.0000 0.0000 0.0000 1
# density of states at the Fermi level: 23.19 states/eV per cell
# volume: 183 Å³/f.u.
# ΔE_f: -2.76 eV/f.u.

3.
# Ti2CuSnH PBE optimized geometry
data_Ti2CuSnH
_symmetry_space_group_name_H-M 'P 4/m m m'
_symmetry_Int_Tables_number 123
_symmetry_space_group_name_Hall '-P 4 2'
_cell_length_a 4.0324
_cell_length_b 4.0324
_cell_length_c 4.1855
_cell_angle_alpha 90.00
_cell_angle_beta 90.00
_cell_angle_gamma 90.00
loop_
_atom_site_label
_atom_site_fract_x
_atom_site_fract_y
_atom_site_fract_z
_atom_site_occupancy
Ti1 0.0000 0.5000 0.0000 1
Cu1 0.0000 0.0000 0.5000 1
Sn1 0.5000 0.5000 0.5000 1
H1 0.0000 0.0000 0.0000 1
# density of states at the Fermi level: 3.49 states/eV per cell
# volume: 68 Å³/f.u.
# total energy: -5.753 eV/atom

4.
# TaSi2Pt PBE optimized geometry
data_TaSi2Pt
_symmetry_space_group_name_H-M 'C m m 2'
_symmetry_Int_Tables_number 35
_cell_length_a 3.8724
_cell_length_b 4.0099
_cell_length_c 7.9836
_cell_angle_alpha 90.00
_cell_angle_beta 90.00
_cell_angle_gamma 90.00
loop_
_symmetry_equiv_pos_as_xyz
'x,y,z'
'-x,-y,z'
'-x,y,z'
'x,-y,z'
'x+1/2,y+1/2,z'
'-x+1/2,-y+1/2,z'
'-x+1/2,y+1/2,z'
'x+1/2,-y+1/2,z'
loop_
_atom_site_label
_atom_site_fract_x
_atom_site_fract_y
_atom_site_fract_z
_atom_site_occupancy
Ta1 0.0000 0.0000 0.0000 1
Si1 0.0000 0.0000 0.5099 1
Si2 0.0000 0.5000 0.2451 1
Pt1 0.0000 0.5000 0.7381 1
# density of states at the Fermi level: 2.49 states/eV per cell
# volume: 62 Å³/f.u.
# raw formation energy: -0.14 eV/atom

5.
# AcPm4Au5 PBE optimized geometry
data_AcPm4Au5
_symmetry_space_group_name_H-M 'P 4/m m m'
_symmetry_Int_Tables_number 123
_symmetry_space_group_name_Hall '-P 4 2'
_cell_length_a 3.7195
_cell_length_b 3.7195
_cell_length_c 18.8397
_cell_angle_alpha 90.00
_cell_angle_beta 90.00
_cell_angle_gamma 90.00
loop_
_atom_site_label
_atom_site_fract_x
_atom_site_fract_y
_atom_site_fract_z
_atom_site_occupancy
Ac1 0.0000 0.0000 0.0000 1
Pm1 0.0000 0.0000 0.2063 1
Pm2 0.0000 0.0000 0.4023 1
Au1 0.5000 0.5000 0.1133 1
Au2 0.5000 0.5000 0.3040 1
Au3 0.5000 0.5000 0.5000 1
# density of states at the Fermi level: 6.44 states/eV per cell
# volume: 261 Å³/f.u.
# ΔE_f: -7.76 eV/f.u.

6.
# Pm4NdRh4 PBE optimized geometry
data_Pm4NdRh4
_symmetry_space_group_name_H-M 'P 42/n'
_symmetry_Int_Tables_number 86
_cell_length_a 9.0049
_cell_length_b 9.0049
_cell_length_c 5.7622
_cell_angle_alpha 90.00
_cell_angle_beta 90.00
_cell_angle_gamma 90.00
loop_
_symmetry_equiv_pos_as_xyz
'x,y,z'
'-x,-y,-z'
'-y,x+1/2,z+1/2'
'y,-x+1/2,-z+1/2'
'-x+1/2,-y+1/2,z'
'x+1/2,y+1/2,-z'
'y+1/2,-x,z+1/2'
'-y+1/2,x,-z+1/2'
loop_
_atom_site_label
_atom_site_fract_x
_atom_site_fract_y
_atom_site_fract_z
_atom_site_occupancy
Pm1 0.0661 0.6616 0.1656 1
Nd1 0.2500 0.2500 0.2500 1
Rh1 0.0310 0.6257 0.6595 1
# density of states at the Fermi level: 12.17 states/eV per cell
# volume: 234 Å³/f.u.
# ΔE_f: -5.16 eV/f.u.

7.
# AsIrPd3 PBE optimized geometry
data_AsIrPd3
_symmetry_space_group_name_H-M 'P m -3 m'
_symmetry_Int_Tables_number 221
_symmetry_space_group_name_Hall '-P 4 2 3'
_cell_length_a 4.8149
_cell_length_b 4.8149
_cell_length_c 4.8149
_cell_angle_alpha 90.00
_cell_angle_beta 90.00
_cell_angle_gamma 90.00
loop_
_atom_site_label
_atom_site_fract_x
_atom_site_fract_y
_atom_site_fract_z
_atom_site_occupancy
As1 0.0000 0.0000 0.0000 1
Ir1 0.5000 0.5000 0.5000 1
Pd1 0.0000 0.5000 0.5000 1
# E above lowest polymorph: 212 kJ/mol of formula units
# density of states at the Fermi level: 8.96 states/eV per cell
# volume: 112 Å³/f.u.
# ΔE_f: 6.15 eV/f.u.

8.
# NdEr3Pu2Te6 PBE optimized geometry
data_NdEr3Pu2Te6
_symmetry_space_group_name_H-M 'C 1 2/m 1'
_symmetry_Int_Tables_number 12
_cell_length_a 19.1771
_cell_length_b 4.3595
_cell_length_c 8.8249
_cell_angle_alpha 90.00
_cell_angle_beta 103.92
_cell_angle_gamma 90.00
loop_
_symmetry_equiv_pos_as_xyz
'x,y,z'
'-x,-y,-z'
'-x,y,-z'
'x,-y,z'
'x+1/2,y+1/2,z'
'-x+1/2,-y+1/2,-z'
'-x+1/2,y+1/2,-z'
'x+1/2,-y+1/2,z'
loop_
_atom_site_label
_atom_site_fract_x
_atom_site_fract_y
_atom_site_fract_z
_atom_site_occupancy
Nd1 0.0000 0.0000 0.0000 1
Er1 0.0000 0.0000 0.5000 1
Er2 0.1649 0.5000 0.8340 1
Pu1 0.1661 0.5000 0.3329 1
Te1 0.0015 0.5000 0.7409 1
Te2 0.1651 0.0000 0.5884 1
Te3 0.1705 0.0000 0.0803 1
# density of states at the Fermi level: 46.12 states/eV per cell
# volume: 358 Å³/f.u.
# raw formation energy: -1.23 eV/atom